Entry 1:
Here is a geometry-optimized KFeRh structure from Alexandria. Energies are from PBE-GGA.

a = 3.8920 Å, b = 3.8920 Å, c = 5.5378 Å
α = 90.00°, β = 90.00°, γ = 120.00°
With the nearest neighbours (Å) after each atom.
Atoms (fractional coordinates):
Fe 0.0000 0.0000 0.0000  3 Rh 2.25
Rh 0.3333 0.6667 0.0000  3 Fe 2.25
K 0.6667 0.3333 0.5000  6 Rh 3.57, 6 Fe 3.57, 6 K 3.89

Summary:
The calculated formation energy comes out at 837 meV/atom. Its space group is No. 187.



Entry 2:
Here is a geometry-optimized KFeRh structure from Alexandria. Energies are from PBE-GGA.

a = 8.3975 Å, b = 2.8468 Å, c = 11.7478 Å
α = 90.00°, β = 90.00°, γ = 90.00°
With the nearest neighbours (Å) after each atom.
Atoms (fractional coordinates):
Rh 0.7808 0.2500 0.0804  3 Fe 2.46-2.51
Rh 0.7192 0.7500 0.5804  3 Fe 2.46-2.51
Rh 0.2808 0.2500 0.4196  3 Fe 2.46-2.51
Rh 0.2192 0.7500 0.9196  3 Fe 2.46-2.51
K 0.9021 0.2500 0.3436  2 K 2.85
K 0.5979 0.7500 0.8436  2 K 2.85
K 0.4021 0.2500 0.1564  2 K 2.85
K 0.0979 0.7500 0.6564  2 K 2.85
Fe 0.5275 0.7500 0.4216  2 Fe 2.37, 3 Rh 2.46-2.51
Fe 0.4725 0.2500 0.5784  2 Fe 2.37, 3 Rh 2.46-2.51
Fe 0.9725 0.2500 0.9216  2 Fe 2.37, 3 Rh 2.46-2.51
Fe 0.0275 0.7500 0.0784  2 Fe 2.37, 3 Rh 2.46-2.51

Summary:
The calculated formation energy comes out at 616 meV/atom. Its space group is No. 62.



Entry 3:
Here is a geometry-optimized KFeRh structure from Alexandria. Energies are from PBE-GGA.

a = 4.5595 Å, b = 4.5595 Å, c = 4.5595 Å
α = 60.00°, β = 60.00°, γ = 60.00°
With the nearest neighbours (Å) after each atom.
Atoms (fractional coordinates):
Rh 0.5000 0.5000 0.5000  4 Fe 2.79, 4 K 2.79
K 0.2500 0.2500 0.2500  4 Rh 2.79
Fe 0.7500 0.7500 0.7500  4 Rh 2.79

Summary:
The calculated formation energy comes out at 1168 meV/atom. Its space group is No. 216.



Entry 4:
Here is a geometry-optimized K2FeRh structure from Alexandria. Energies are from PBE-GGA.

a = 12.1897 Å, b = 12.1897 Å, c = 8.9225 Å
α = 46.91°, β = 46.91°, γ = 90.00°
With the nearest neighbours (Å) after each atom.
Atoms (fractional coordinates):
K 0.9436 0.6250 0.2500  2 Rh 3.21
K 0.3750 0.1936 0.7500  2 Rh 3.21
K 0.8064 0.1250 0.2500  2 Rh 3.21
K 0.8750 0.0564 0.7500  2 Rh 3.21
Fe 0.5000 0.5000 0.0000  2 Rh 2.31
Fe 0.2500 0.7500 0.5000  2 Rh 2.31
Rh 0.0000 0.0000 0.0000  2 Fe 2.31
Rh 0.7500 0.2500 0.5000  2 Fe 2.31

Summary:
The calculated formation energy comes out at 788 meV/atom. Its space group is No. 122.



Entry 5:
Here is a geometry-optimized KFeRh structure from Alexandria. Energies are from PBE-GGA.

a = 4.9899 Å, b = 4.3825 Å, c = 6.5033 Å
α = 70.38°, β = 89.99°, γ = 90.00°
With the nearest neighbours (Å) after each atom.
Atoms (fractional coordinates):
Rh 0.4886 0.2680 0.5405  4 Fe 2.55, 2 Rh 2.60
Rh 0.9885 0.2097 0.6576  4 Fe 2.55, 2 Rh 2.60
K 0.4885 0.0097 0.0547  3 Rh 3.15-3.48, 4 K 3.36
K 0.9885 0.4655 0.1434  3 Rh 3.15-3.49, 4 K 3.36
Fe 0.2388 0.7390 0.5988  2 Fe 2.49-2.50, 4 Rh 2.55
Fe 0.7389 0.7390 0.5987  2 Fe 2.49-2.50, 4 Rh 2.55

Summary:
The calculated formation energy comes out at 390 meV/atom. Its space group is No. 6.



Entry 6:
Here is a geometry-optimized K3FeRh structure from Alexandria. Energies are from PBE-GGA.

a = 6.0150 Å, b = 6.0150 Å, c = 6.0150 Å
α = 90.00°, β = 90.00°, γ = 90.00°
With the nearest neighbours (Å) after each atom.
Atoms (fractional coordinates):
Rh 0.0000 0.0000 0.0000  6 K 3.01
K 0.5000 0.0000 0.0000  2 Rh 3.01
K 0.0000 0.5000 0.0000  2 Rh 3.01
K 0.0000 0.0000 0.5000  2 Rh 3.01
Fe 0.5000 0.5000 0.5000  12 K 4.25

Summary:
The calculated formation energy comes out at 1163 meV/atom. Its space group is No. 221.



Entry 7:
Here is a geometry-optimized KFeRh structure from Alexandria. Energies are from PBE-GGA.

a = 4.9755 Å, b = 4.3043 Å, c = 6.4329 Å
α = 90.03°, β = 84.83°, γ = 90.00°
With the nearest neighbours (Å) after each atom.
Atoms (fractional coordinates):
Rh 0.7427 0.1862 0.6291  4 Fe 2.51, 2 Rh 2.57-2.60
Rh 0.2584 0.1861 0.5198  4 Fe 2.54-2.58, 2 Rh 2.57-2.60
K 0.1766 0.1866 0.0121  3 Rh 3.16-3.42, 4 K 3.39-3.50, 4 Fe 3.45-3.51
K 0.6730 0.6867 0.1737  2 Fe 3.09-3.41, 2 K 3.39
Fe 0.4825 0.6862 0.6445  2 Fe 2.40-2.59, 4 Rh 2.51-2.58
Fe 0.0051 0.6862 0.6144  2 Fe 2.40-2.59, 4 Rh 2.51-2.54

Summary:
The calculated formation energy comes out at 407 meV/atom. Its space group is No. 6.



Entry 8:
Here is a geometry-optimized KFeRh structure from Alexandria. Energies are from PBE-GGA.

a = 4.9601 Å, b = 4.2951 Å, c = 6.5059 Å
α = 89.50°, β = 89.91°, γ = 90.00°
With the nearest neighbours (Å) after each atom.
Atoms (fractional coordinates):
K 0.9201 0.6826 0.0029  4 Rh 3.16-3.48, 4 Fe 3.44-3.45, 4 K 3.48-3.49
K 0.4200 0.1822 0.1823  2 Fe 3.19-3.20, 4 K 3.48-3.49
Rh 0.4212 0.6879 0.6289  4 Fe 2.51, 2 Rh 2.58
Rh 0.9215 0.6896 0.5174  4 Fe 2.56, 2 Rh 2.58
Fe 0.1608 0.1880 0.6313  2 Fe 2.38-2.58, 4 Rh 2.51-2.56
Fe 0.6818 0.1880 0.6308  2 Fe 2.38-2.58, 4 Rh 2.51-2.56

Summary:
The calculated formation energy comes out at 406 meV/atom. Its space group is No. 1.



Entry 9:
Here is a geometry-optimized KFeRh2 structure from Alexandria. Energies are from PBE-GGA.

a = 4.4976 Å, b = 4.4976 Å, c = 4.4976 Å
α = 60.00°, β = 60.00°, γ = 60.00°
With the nearest neighbours (Å) after each atom.
Atoms (fractional coordinates):
Rh 0.2500 0.2500 0.2500  4 Fe 2.75, 4 K 2.75
Rh 0.7500 0.7500 0.7500  4 Fe 2.75, 4 K 2.75
Fe 0.5000 0.5000 0.5000  8 Rh 2.75
K 0.0000 0.0000 0.0000  8 Rh 2.75

Summary:
The calculated formation energy comes out at 1231 meV/atom. Its space group is No. 225.



Entry 10:
Here is a geometry-optimized K2FeRh structure from Alexandria. Energies are from PBE-GGA.

a = 3.4274 Å, b = 3.4289 Å, c = 10.0242 Å
α = 90.00°, β = 90.00°, γ = 90.00°
With the nearest neighbours (Å) after each atom.
Atoms (fractional coordinates):
K 0.5000 0.5000 0.3371  1 Fe 3.19, 4 K 3.43, 4 Rh 3.54
K 0.0000 0.0000 0.9138  1 Rh 3.21, 4 K 3.43, 4 Fe 3.55
Fe 0.5000 0.5000 0.6554  4 Rh 2.50
Rh 0.0000 0.0000 0.5937  4 Fe 2.50

Summary:
The calculated formation energy comes out at 455 meV/atom. Its space group is No. 99.



Entry 11:
Here is a geometry-optimized KFeRh2 structure from Alexandria. Energies are from PBE-GGA.

a = 5.4681 Å, b = 5.4681 Å, c = 2.6817 Å
α = 78.93°, β = 78.93°, γ = 115.81°
With the nearest neighbours (Å) after each atom.
Atoms (fractional coordinates):
Fe 0.5000 0.0000 0.5000  2 Fe 2.68, 4 Rh 2.80, 2 K 2.91
Rh 0.5000 0.5000 0.0000  4 Rh 2.68-2.91, 2 Fe 2.80, 2 K 2.80
Rh 0.0000 0.0000 0.0000  4 Rh 2.68-2.91, 2 K 2.80, 2 Fe 2.80
K 0.0000 0.5000 0.5000  2 K 2.68, 4 Rh 2.80, 2 Fe 2.91

Summary:
The calculated formation energy comes out at 839 meV/atom. Its space group is No. 12.



Entry 12:
Here is a geometry-optimized KFeRh structure from Alexandria. Energies are from PBE-GGA.

a = 2.8909 Å, b = 2.8909 Å, c = 7.6805 Å
α = 90.00°, β = 90.00°, γ = 120.00°
With the nearest neighbours (Å) after each atom.
Atoms (fractional coordinates):
Rh 0.3333 0.6667 0.7021  3 Fe 2.56
K 0.6667 0.3333 0.3438  6 K 2.89, 3 Rh 3.22
Fe 0.0000 0.0000 0.9541  3 Rh 2.56

Summary:
The calculated formation energy comes out at 746 meV/atom. Its space group is No. 156.



Entry 13:
Here is a geometry-optimized KFeRh structure from Alexandria. Energies are from PBE-GGA.

a = 2.9393 Å, b = 3.9579 Å, c = 12.2124 Å
α = 90.17°, β = 96.39°, γ = 90.00°
With the nearest neighbours (Å) after each atom.
Atoms (fractional coordinates):
Fe 0.4736 0.7494 0.4378  2 Fe 2.49, 6 Rh 2.56-2.67
Fe 0.5264 0.2506 0.5622  2 Fe 2.49, 6 Rh 2.56-2.67
K 0.6561 0.2531 0.8256  2 K 2.94, 1 Fe 3.20
K 0.3439 0.7469 0.1744  2 K 2.94, 1 Fe 3.20
Rh 0.0557 0.7512 0.6214  6 Fe 2.56-2.67
Rh 0.9443 0.2488 0.3786  6 Fe 2.56-2.67

Summary:
The calculated formation energy comes out at 309 meV/atom. Its space group is No. 2.



Entry 14:
Here is a geometry-optimized K2FeRh structure from Alexandria. Energies are from PBE-GGA.

a = 2.9057 Å, b = 2.9057 Å, c = 11.2608 Å
α = 90.00°, β = 90.00°, γ = 114.77°
With the nearest neighbours (Å) after each atom.
Atoms (fractional coordinates):
Rh 0.5000 0.5000 0.2500  6 Rh 2.91-3.13, 4 K 3.06
K 0.0000 0.0000 0.4836  6 K 2.91-3.13, 2 Rh 3.06
K 0.0000 0.0000 0.0164  6 K 2.91-3.13, 2 Rh 3.06
Fe 0.5000 0.5000 0.7500  6 Fe 2.91-3.13

Summary:
The calculated formation energy comes out at 1066 meV/atom. Its space group is No. 65.



Entry 15:
Here is a geometry-optimized K3FeRh3Se8 structure from Alexandria. Energies are from PBE-GGA.

a = 7.5922 Å, b = 7.5933 Å, c = 8.5999 Å
α = 116.22°, β = 90.00°, γ = 119.98°
With the nearest neighbours (Å) after each atom.
Atoms (fractional coordinates):
Se 0.2770 0.5540 0.3311  3 Rh 2.52
Se 0.2722 0.0529 0.3335  1 Fe 2.48, 2 Rh 2.53
Se 0.7230 0.4460 0.6689  3 Rh 2.52
Se 0.7278 0.9471 0.6665  1 Fe 2.48, 2 Rh 2.53
Se 0.2195 0.4388 0.6666  1 Fe 2.48, 2 Rh 2.53
Se 0.7805 0.5612 0.3334  1 Fe 2.48, 2 Rh 2.53
Se 0.2193 0.9471 0.6664  1 Fe 2.48, 2 Rh 2.53
Se 0.7807 0.0529 0.3336  1 Fe 2.48, 2 Rh 2.53
Rh 0.0000 0.5000 0.5000  6 Se 2.52-2.53
Rh 0.5000 0.0000 0.5000  6 Se 2.52-2.53
Rh 0.5000 0.5000 0.5000  6 Se 2.52-2.53
K 0.0000 0.0000 0.0000  6 Se 3.29
K 0.5000 0.5000 0.0000  6 Se 3.29
K 0.0000 0.5000 0.0000  6 Se 3.29
Fe 0.0000 0.0000 0.5000  6 Se 2.48

Summary:
The value obtained for the formation energy (no corrections) is -622 meV per atom. Its space group is No. 166.



Entry 16:
Here is a geometry-optimized KFe2Ru structure from Alexandria. Energies are from PBE-GGA.

a = 4.5337 Å, b = 4.5337 Å, c = 4.5337 Å
α = 119.95°, β = 119.95°, γ = 90.09°
With the nearest neighbours (Å) after each atom.
Atoms (fractional coordinates):
Fe 0.2500 0.7500 0.5000  4 Fe 2.78, 4 K 2.78
Fe 0.0000 0.0000 0.0000  4 Fe 2.78, 4 Ru 2.78
K 0.5000 0.5000 0.0000  4 Ru 2.78, 4 Fe 2.78
Ru 0.7500 0.2500 0.5000  4 Fe 2.78, 4 K 2.78

Summary:
The calculated formation energy comes out at 1350 meV/atom. Its space group is No. 119.



Entry 17:
Here is a geometry-optimized K2FeRu structure from Alexandria. Energies are from PBE-GGA.

a = 5.9366 Å, b = 5.9366 Å, c = 5.1517 Å
α = 83.40°, β = 83.40°, γ = 27.17°
With the nearest neighbours (Å) after each atom.
Atoms (fractional coordinates):
K 0.0000 0.0000 0.0004  6 K 2.79-2.93
K 0.5000 0.5000 0.4996  6 K 2.79-2.93
Ru 0.2500 0.2500 0.2500  2 Ru 2.79, 4 Fe 2.93
Fe 0.7500 0.7500 0.7500  2 Fe 2.79, 4 Ru 2.93

Summary:
The calculated formation energy comes out at 1284 meV/atom. Its space group is No. 12.



Entry 18:
Here is a geometry-optimized KFeRu2 structure from Alexandria. Energies are from PBE-GGA.

a = 10.0419 Å, b = 10.0419 Å, c = 10.0419 Å
α = 15.73°, β = 15.73°, γ = 15.73°
With the nearest neighbours (Å) after each atom.
Atoms (fractional coordinates):
Ru 0.9846 0.9846 0.9846  3 Fe 2.57, 6 Ru 2.75
Ru 0.5154 0.5154 0.5154  3 Fe 2.57, 6 Ru 2.75
K 0.7500 0.7500 0.7500  6 K 2.75
Fe 0.2500 0.2500 0.2500  6 Ru 2.57, 6 Fe 2.75

Summary:
The calculated formation energy comes out at 754 meV/atom. Its space group is No. 166.



Entry 19:
Here is a geometry-optimized K2FeRu structure from Alexandria. Energies are from PBE-GGA.

a = 12.4982 Å, b = 12.4982 Å, c = 9.1066 Å
α = 46.67°, β = 46.67°, γ = 90.00°
With the nearest neighbours (Å) after each atom.
Atoms (fractional coordinates):
Ru 0.7500 0.2500 0.5000  2 Fe 2.20
Ru 0.0000 0.0000 0.0000  2 Fe 2.20
K 0.3750 0.5660 0.7500  2 Fe 3.26, 2 Ru 3.61
K 0.4340 0.1250 0.2500  2 Fe 3.26, 2 Ru 3.61
K 0.8750 0.6840 0.7500  2 Fe 3.26, 2 Ru 3.61
K 0.3160 0.6250 0.2500  2 Fe 3.26, 2 Ru 3.61
Fe 0.5000 0.5000 0.0000  2 Ru 2.20
Fe 0.2500 0.7500 0.5000  2 Ru 2.20

Summary:
The calculated formation energy comes out at 1145 meV/atom. Its space group is No. 122.



Entry 20:
Here is a geometry-optimized K3FeRu structure from Alexandria. Energies are from PBE-GGA.

a = 6.0117 Å, b = 6.0117 Å, c = 6.0117 Å
α = 90.00°, β = 90.00°, γ = 90.00°
With the nearest neighbours (Å) after each atom.
Atoms (fractional coordinates):
K 0.5000 0.0000 0.0000  2 Ru 3.01
K 0.0000 0.5000 0.0000  2 Ru 3.01
K 0.0000 0.0000 0.5000  2 Ru 3.01
Ru 0.0000 0.0000 0.0000  6 K 3.01
Fe 0.5000 0.5000 0.5000  12 K 4.25

Summary:
The calculated formation energy comes out at 1660 meV/atom. Its space group is No. 221.



Uncorrected energy (eV/cell)
-14.40; -60.25; -13.41; -29.71; -31.49; -13.29; -31.38; -31.39; -19.34; -16.19; -20.91; -14.67; -31.97; -13.75; -71.02; -21.90; -14.80; -25.10; -30.70; -12.73